P.
Below is a relaxed structure of Tl2CuOs, with properties calculated at the PBE level.

Cell and atoms, written as POSCAR:
```
Tl2CuOs
1.0
3.1522 0.0000 0.0000
0.0000 4.5819 0.0000
0.0000 0.0000 5.3943
Tl Cu Os
2 1 1
Cartesian
0.0000 0.0000 0.0000
1.5761 0.0000 2.6972
0.0000 2.2910 2.6972
1.5761 2.2910 0.0000
```

Calculated values
* crystal system: orthorhombic
* space group: Pmmm, No. 47

=====

Q.
Below is a relaxed structure of Tl2CuOs, with properties calculated at the PBE level.

Cell and atoms, written as POSCAR:
```
Tl2CuOs
1.0
3.4735 0.0000 0.0000
0.0000 3.4735 0.0000
0.0000 0.0000 6.1477
Tl Cu Os
2 1 1
Cartesian
0.0000 0.0000 1.5231
0.0000 0.0000 4.6246
1.7368 1.7368 0.0000
1.7368 1.7368 3.0738
```

Calculated values
* crystal system: tetragonal
* space group: P4/mmm, No. 123

=====

Last place for stability: P

=====

P.
Below is a relaxed structure of Tl2CuOs, with properties calculated at the PBE level.

Cell and atoms, written as POSCAR:
```
Tl2CuOs
1.0
3.0502 0.0000 0.0000
0.0000 4.4442 0.0000
-0.3460 0.0000 5.7099
Tl Cu Os
2 1 1
Cartesian
0.5437 0.0000 1.4324
2.1605 0.0000 4.2775
-0.1730 2.2221 2.8550
1.5251 2.2221 0.0000
```

Calculated values
* crystal system: monoclinic
* space group: P2/m, No. 10

=====

Q.
Below is a relaxed structure of Tl2CuOs, with properties calculated at the PBE level.

Cell and atoms, written as POSCAR:
```
Tl2CuOs
1.0
4.2297 0.0000 0.0000
0.0000 4.2297 0.0000
0.0000 0.0000 18.7649
Tl Cu Os
8 4 4
Cartesian
1.0430 1.0574 2.3456
1.0574 3.1579 7.0368
1.0574 3.1866 16.4193
1.0718 1.0574 11.7281
3.1579 3.1723 11.7281
3.1723 1.0430 16.4193
3.1723 1.0718 7.0368
3.1866 3.1723 2.3456
0.0000 0.0000 9.3825
0.0000 2.1148 14.0737
2.1148 0.0000 4.6912
2.1148 2.1148 0.0000
0.0000 0.0000 0.0000
0.0000 2.1148 4.6912
2.1148 0.0000 14.0737
2.1148 2.1148 9.3825
```

Calculated values
* crystal system: tetragonal
* space group: I-42d, No. 122

=====

R.
Below is a relaxed structure of Tl2CuOs, with properties calculated at the PBE level.

Cell and atoms, written as POSCAR:
```
Tl2CuOs
1.0
3.1702 0.0000 0.0000
-1.5851 2.7454 0.0000
0.0000 0.0000 26.2400
Tl Cu Os
6 3 3
Cartesian
0.0000 0.0000 6.5220
0.0000 0.0000 19.7180
0.0000 1.8303 10.9713
0.0000 1.8303 24.0153
1.5851 0.9151 2.2247
1.5851 0.9151 15.2687
0.0000 0.0000 13.1200
0.0000 1.8303 4.3733
1.5851 0.9151 21.8667
0.0000 0.0000 0.0000
0.0000 1.8303 17.4934
1.5851 0.9151 8.7467
```

Calculated values
* crystal system: trigonal
* space group: R-3m, No. 166

=====

S.
Below is a relaxed structure of Tl2CuOs, with properties calculated at the PBE level.

Cell and atoms, written as POSCAR:
```
Tl2CuOs
1.0
6.7512 0.0000 0.0000
0.0000 6.7512 0.0000
0.0000 0.0000 6.7512
Tl Cu Os
8 4 4
Cartesian
0.0000 0.0000 0.0000
0.0000 3.3756 3.3756
1.6878 1.6878 1.6878
1.6878 5.0634 5.0634
3.3756 0.0000 3.3756
3.3756 3.3756 0.0000
5.0634 1.6878 5.0634
5.0634 5.0634 1.6878
1.6878 1.6878 5.0634
1.6878 5.0634 1.6878
5.0634 1.6878 1.6878
5.0634 5.0634 5.0634
0.0000 0.0000 3.3756
0.0000 3.3756 0.0000
3.3756 0.0000 0.0000
3.3756 3.3756 3.3756
```

Calculated values
* crystal system: cubic
* space group: F-43m, No. 216

=====

Last place for stability: Q

=====

P.
Below is a relaxed structure of Tl2CuOs, with properties calculated at the PBE level.

Cell and atoms, written as POSCAR:
```
Tl2CuOs
1.0
3.2760 0.0000 0.0000
0.0000 3.2760 0.0000
0.0000 0.0000 7.7132
Tl Cu Os
2 1 1
Cartesian
0.0000 0.0000 0.0000
1.6380 1.6380 2.7573
0.0000 0.0000 4.7512
1.6380 1.6380 5.7536
```

Calculated values
* crystal system: tetragonal
* space group: P4mm, No. 99

=====

Q.
Below is a relaxed structure of Tl2CuOs, with properties calculated at the PBE level.

Cell and atoms, written as POSCAR:
```
Tl2CuOs
1.0
6.6849 0.0000 0.0000
0.0000 6.6849 0.0000
0.0000 0.0000 6.6849
Tl Cu Os
8 4 4
Cartesian
1.6712 1.6712 1.6712
1.6712 1.6712 5.0137
1.6712 5.0137 1.6712
1.6712 5.0137 5.0137
5.0137 1.6712 1.6712
5.0137 1.6712 5.0137
5.0137 5.0137 1.6712
5.0137 5.0137 5.0137
0.0000 0.0000 0.0000
0.0000 3.3425 3.3425
3.3425 0.0000 3.3425
3.3425 3.3425 0.0000
0.0000 0.0000 3.3425
0.0000 3.3425 0.0000
3.3425 0.0000 0.0000
3.3425 3.3425 3.3425
```

Calculated values
* crystal system: cubic
* space group: Fm-3m, No. 225

=====

R.
Below is a relaxed structure of Tl2CuOs, with properties calculated at the PBE level.

Cell and atoms, written as POSCAR:
```
Tl2CuOs
1.0
4.2902 0.0000 0.0000
0.0000 4.2902 0.0000
0.0000 0.0000 8.0537
Tl Cu Os
4 2 2
Cartesian
0.0000 2.1451 2.0134
0.0000 2.1451 6.0403
2.1451 0.0000 2.0134
2.1451 0.0000 6.0403
0.0000 0.0000 0.0000
2.1451 2.1451 4.0269
0.0000 0.0000 4.0269
2.1451 2.1451 0.0000
```

Calculated values
* crystal system: tetragonal
* space group: I4/mmm, No. 139

=====

Last place for stability: Q

=====

P.
Below is a relaxed structure of Tm3CuOs, with properties calculated at the PBE level.

Cell and atoms, written as POSCAR:
```
Tm3CuOs
1.0
3.5398 0.0000 0.0000
0.0101 7.8370 0.0000
0.0036 3.6393 8.2575
Tm Cu Os
6 2 2
Cartesian
0.0000 0.0000 0.0000
0.0024 1.5031 2.9610
3.5469 6.8570 4.8466
0.0112 4.9579 2.1283
1.7797 3.7549 5.0256
1.7891 8.4979 7.4888
1.7671 5.7304 6.9842
1.7697 2.6155 1.1024
0.0203 9.6900 5.8327
1.7809 7.1555 2.3430
```

Calculated values
* crystal system: triclinic
* space group: P1, No. 1

=====

Q.
Below is a relaxed structure of Tm3CuOs, with properties calculated at the PBE level.

Cell and atoms, written as POSCAR:
```
Tm3CuOs
1.0
4.2453 0.0000 0.0000
0.0000 8.5733 0.0000
0.0000 0.0000 6.2210
Tm Cu Os
6 2 2
Cartesian
1.0613 0.4657 1.3544
1.0613 2.1433 4.5732
1.0613 3.8210 1.3544
3.1840 4.7524 4.8666
3.1840 6.4300 1.6478
3.1840 8.1076 4.8666
1.0613 6.4300 3.4850
3.1840 2.1433 2.7360
1.0613 6.4300 6.0396
3.1840 2.1433 0.1814
```

Calculated values
* crystal system: orthorhombic
* space group: Pmmn, No. 59

=====

Last place for stability: P

=====

P.
Below is a relaxed structure of V3CuOs, with properties calculated at the PBE level.

Cell and atoms, written as POSCAR:
```
V3CuOs
1.0
4.2962 0.0000 0.0000
0.0000 4.2962 0.0000
0.0000 0.0000 4.2962
V Cu Os
3 1 1
Cartesian
0.0000 0.0000 2.1481
0.0000 2.1481 0.0000
2.1481 0.0000 0.0000
0.0000 0.0000 0.0000
2.1481 2.1481 2.1481
```

Calculated values
* crystal system: cubic
* space group: Pm-3m, No. 221

=====

Q.
Below is a relaxed structure of V3CuOs, with properties calculated at the PBE level.

Cell and atoms, written as POSCAR:
```
V3CuOs
1.0
4.5660 0.0000 0.0000
0.0000 4.5660 0.0000
0.0000 0.0000 4.5660
V Cu Os
3 1 1
Cartesian
0.0000 0.0000 2.2830
0.0000 2.2830 0.0000
2.2830 0.0000 0.0000
2.2830 2.2830 2.2830
0.0000 0.0000 0.0000
```

Calculated values
* crystal system: cubic
* space group: Pm-3m, No. 221

=====

Last place for stability: P

=====

P.
Below is a relaxed structure of VCu2Os, with properties calculated at the PBE level.

Cell and atoms, written as POSCAR:
```
VCu2Os
1.0
3.4825 0.0000 0.0000
0.0000 3.4825 0.0000
0.0000 0.0000 18.5303
V Cu Os
4 8 4
Cartesian
0.0000 0.0000 0.0000
0.0000 1.7412 4.6326
1.7412 0.0000 13.8977
1.7412 1.7412 9.2651
0.8536 0.8706 11.5814
0.8706 2.5948 16.2140
0.8706 2.6289 6.9489
0.8877 0.8706 2.3163
2.5948 2.6119 2.3163
2.6119 0.8536 6.9489
2.6119 0.8877 16.2140
2.6289 2.6119 11.5814
0.0000 0.0000 9.2651
0.0000 1.7412 13.8977
1.7412 0.0000 4.6326
1.7412 1.7412 0.0000
```

Calculated values
* crystal system: tetragonal
* space group: I-42d, No. 122

=====

Q.
Below is a relaxed structure of VCu2Os, with properties calculated at the PBE level.

Cell and atoms, written as POSCAR:
```
VCu2Os
1.0
5.9305 0.0000 0.0000
0.0000 5.9305 0.0000
0.0000 0.0000 5.9305
V Cu Os
4 8 4
Cartesian
0.0000 0.0000 0.0000
0.0000 2.9653 2.9653
2.9653 0.0000 2.9653
2.9653 2.9653 0.0000
1.4826 1.4826 1.4826
1.4826 1.4826 4.4479
1.4826 4.4479 1.4826
1.4826 4.4479 4.4479
4.4479 1.4826 1.4826
4.4479 1.4826 4.4479
4.4479 4.4479 1.4826
4.4479 4.4479 4.4479
0.0000 0.0000 2.9653
0.0000 2.9653 0.0000
2.9653 0.0000 0.0000
2.9653 2.9653 2.9653
```

Calculated values
* crystal system: cubic
* space group: Fm-3m, No. 225

=====

Last place for stability: P